[1]
A relaxed Nd4PAuSe2 crystal. Source: Alexandria, functional PBE.

```
data_Nd4PAuSe2
_cell_length_a 4.190
_cell_length_b 7.356
_cell_length_c 7.405
_cell_angle_alpha 71.26
_cell_angle_beta 90.00
_cell_angle_gamma 90.00
_space_group_name_H-M_alt 'P 1'
_space_group_IT_number 1
_space_group_name_Hall 'P 1'
loop_
_atom_site_label
_atom_site_fract_x
_atom_site_fract_y
_atom_site_fract_z
_atom_site_occupancy
Nd1 0.000 0.748 0.741 1
Nd2 0.000 0.252 0.259 1
Nd3 0.500 0.740 0.265 1
Nd4 0.500 0.260 0.735 1
P1 0.000 0.500 0.500 1
Au1 0.500 0.500 0.000 1
Se1 0.000 0.000 0.000 1
Se2 0.500 0.000 0.500 1
```

* DOS(E_F): 4.02 states/eV per cell
* DFT total energy: -5.839 eV per atom
* uncorrected formation energy: -1.498 eV per atom
* space-group type: No. 10

[2]
A relaxed Nd8Te4P3Au crystal. Source: Alexandria, functional PBE.

```
data_Nd8Te4P3Au
_cell_length_a 8.635
_cell_length_b 8.796
_cell_length_c 8.635
_cell_angle_alpha 119.40
_cell_angle_beta 120.00
_cell_angle_gamma 90.00
_space_group_name_H-M_alt 'P 1'
_space_group_IT_number 1
_space_group_name_Hall 'P 1'
loop_
_atom_site_label
_atom_site_fract_x
_atom_site_fract_y
_atom_site_fract_z
_atom_site_occupancy
Nd1 0.246 0.722 0.976 1
Nd2 0.246 0.722 0.491 1
Nd3 0.263 0.288 0.525 1
Nd4 0.731 0.722 0.976 1
Nd5 0.269 0.278 0.024 1
Nd6 0.737 0.712 0.475 1
Nd7 0.754 0.278 0.509 1
Nd8 0.754 0.278 0.024 1
Te1 0.500 0.000 0.000 1
Te2 0.500 0.000 0.500 1
Te3 0.000 0.000 0.000 1
Te4 0.000 0.000 0.500 1
P1 0.500 0.500 0.000 1
P2 0.500 0.500 0.500 1
P3 0.000 0.500 0.500 1
Au1 0.000 0.500 0.000 1
```

* DOS(E_F): 10.24 states/eV per cell
* DFT total energy: -5.819 eV per atom
* uncorrected formation energy: -1.430 eV per atom
* space-group type: No. 166

[3]
A relaxed Nd4Te2PAu crystal. Source: Alexandria, functional PBE.

```
data_Nd4Te2PAu
_cell_length_a 4.292
_cell_length_b 7.650
_cell_length_c 7.630
_cell_angle_alpha 108.52
_cell_angle_beta 90.00
_cell_angle_gamma 90.00
_space_group_name_H-M_alt 'P 1'
_space_group_IT_number 1
_space_group_name_Hall 'P 1'
loop_
_atom_site_label
_atom_site_fract_x
_atom_site_fract_y
_atom_site_fract_z
_atom_site_occupancy
Nd1 0.500 0.229 0.222 1
Nd2 0.500 0.771 0.778 1
Nd3 0.000 0.248 0.772 1
Nd4 0.000 0.752 0.228 1
Te1 0.500 0.000 0.500 1
Te2 0.000 0.500 0.500 1
P1 0.000 0.000 0.000 1
Au1 0.500 0.500 0.000 1
```

* DOS(E_F): 4.80 states/eV per cell
* DFT total energy: -5.554 eV per atom
* uncorrected formation energy: -1.299 eV per atom
* space-group type: No. 10

[4]
A relaxed Nd6Te3P2Au crystal. Source: Alexandria, functional PBE.

```
data_Nd6Te3P2Au
_cell_length_a 4.280
_cell_length_b 8.880
_cell_length_c 9.801
_cell_angle_alpha 103.90
_cell_angle_beta 102.61
_cell_angle_gamma 90.00
_space_group_name_H-M_alt 'P 1'
_space_group_IT_number 1
_space_group_name_Hall 'P 1'
loop_
_atom_site_label
_atom_site_fract_x
_atom_site_fract_y
_atom_site_fract_z
_atom_site_occupancy
Nd1 0.332 0.889 0.665 1
Nd2 0.675 0.564 0.349 1
Nd3 0.668 0.111 0.335 1
Nd4 0.010 0.245 0.021 1
Nd5 0.990 0.755 0.979 1
Nd6 0.325 0.436 0.651 1
Te1 0.500 0.500 0.000 1
Te2 0.836 0.167 0.672 1
Te3 0.164 0.833 0.328 1
P1 0.832 0.664 0.663 1
P2 0.168 0.336 0.337 1
Au1 0.500 0.000 0.000 1
```

* DOS(E_F): 5.87 states/eV per cell
* DFT total energy: -5.741 eV per atom
* uncorrected formation energy: -1.397 eV per atom
* space-group type: No. 12

[5]
A relaxed NdPaAu crystal. Source: Alexandria, functional PBE.

```
data_NdPaAu
_cell_length_a 5.034
_cell_length_b 5.034
_cell_length_c 6.983
_cell_angle_alpha 90.00
_cell_angle_beta 90.00
_cell_angle_gamma 120.00
_space_group_name_H-M_alt 'P 1'
_space_group_IT_number 1
_space_group_name_Hall 'P 1'
loop_
_atom_site_label
_atom_site_fract_x
_atom_site_fract_y
_atom_site_fract_z
_atom_site_occupancy
Nd1 0.000 0.000 0.775 1
Nd2 0.000 0.000 0.225 1
Au1 0.333 0.667 0.001 1
Au2 0.667 0.333 0.999 1
Pa1 0.667 0.333 0.500 1
Pa2 0.333 0.667 0.500 1
```

* DOS(E_F): 11.48 states/eV per cell
* DFT total energy: -5.891 eV per atom
* space-group type: No. 191
* formation energy: -44.1 meV per atom

[6]
A relaxed NdPaAu2 crystal. Source: Alexandria, functional PBE.

```
data_NdPaAu2
_cell_length_a 3.418
_cell_length_b 5.353
_cell_length_c 5.353
_cell_angle_alpha 90.00
_cell_angle_beta 90.00
_cell_angle_gamma 90.00
_space_group_name_H-M_alt 'P 1'
_space_group_IT_number 1
_space_group_name_Hall 'P 1'
loop_
_atom_site_label
_atom_site_fract_x
_atom_site_fract_y
_atom_site_fract_z
_atom_site_occupancy
Nd1 0.500 0.000 0.000 1
Pa1 0.500 0.500 0.500 1
Au1 0.000 0.000 0.500 1
Au2 0.000 0.500 0.000 1
```

* DOS(E_F): 6.96 states/eV per cell
* DFT total energy: -5.629 eV per atom
* space-group type: No. 123
* formation energy: -424.8 meV per atom

[7]
A relaxed NdPaAu2 crystal. Source: Alexandria, functional PBE.

```
data_NdPaAu2
_cell_length_a 5.175
_cell_length_b 5.175
_cell_length_c 5.175
_cell_angle_alpha 60.00
_cell_angle_beta 60.00
_cell_angle_gamma 60.00
_space_group_name_H-M_alt 'P 1'
_space_group_IT_number 1
_space_group_name_Hall 'P 1'
loop_
_atom_site_label
_atom_site_fract_x
_atom_site_fract_y
_atom_site_fract_z
_atom_site_occupancy
Nd1 0.500 0.500 0.500 1
Pa1 0.000 0.000 0.000 1
Au1 0.250 0.250 0.250 1
Au2 0.750 0.750 0.750 1
```

* DOS(E_F): 6.40 states/eV per cell
* DFT total energy: -5.595 eV per atom
* space-group type: No. 225
* formation energy: -390.9 meV per atom

[8]
A relaxed NdPaAu2 crystal. Source: Alexandria, functional PBE.

```
data_NdPaAu2
_cell_length_a 3.948
_cell_length_b 3.948
_cell_length_c 8.374
_cell_angle_alpha 76.37
_cell_angle_beta 76.37
_cell_angle_gamma 60.00
_space_group_name_H-M_alt 'P 1'
_space_group_IT_number 1
_space_group_name_Hall 'P 1'
loop_
_atom_site_label
_atom_site_fract_x
_atom_site_fract_y
_atom_site_fract_z
_atom_site_occupancy
Nd1 0.500 0.500 0.500 1
Pa1 0.000 0.000 0.000 1
Au1 0.745 0.745 0.765 1
Au2 0.255 0.255 0.235 1
```

* DOS(E_F): 6.05 states/eV per cell
* DFT total energy: -5.513 eV per atom
* space-group type: No. 166
* formation energy: -308.3 meV per atom

[9]
A relaxed NdPaAu2 crystal. Source: Alexandria, functional PBE.

```
data_NdPaAu2
_cell_length_a 3.342
_cell_length_b 3.342
_cell_length_c 8.524
_cell_angle_alpha 90.00
_cell_angle_beta 90.00
_cell_angle_gamma 90.00
_space_group_name_H-M_alt 'P 1'
_space_group_IT_number 1
_space_group_name_Hall 'P 1'
loop_
_atom_site_label
_atom_site_fract_x
_atom_site_fract_y
_atom_site_fract_z
_atom_site_occupancy
Nd1 0.500 0.500 0.500 1
Pa1 0.500 0.500 0.000 1
Au1 0.000 0.000 0.759 1
Au2 0.000 0.000 0.241 1
```

* DOS(E_F): 6.20 states/eV per cell
* DFT total energy: -5.644 eV per atom
* space-group type: No. 123
* formation energy: -439.8 meV per atom

[10]
A relaxed NdPaAu crystal. Source: Alexandria, functional PBE.

```
data_NdPaAu
_cell_length_a 3.495
_cell_length_b 5.013
_cell_length_c 5.013
_cell_angle_alpha 120.00
_cell_angle_beta 90.00
_cell_angle_gamma 90.00
_space_group_name_H-M_alt 'P 1'
_space_group_IT_number 1
_space_group_name_Hall 'P 1'
loop_
_atom_site_label
_atom_site_fract_x
_atom_site_fract_y
_atom_site_fract_z
_atom_site_occupancy
Nd1 0.678 0.667 0.333 1
Pa1 0.054 0.000 0.000 1
Au1 0.269 0.333 0.667 1
```

* DOS(E_F): 4.43 states/eV per cell
* DFT total energy: -5.848 eV per atom
* space-group type: No. 156
* formation energy: -1.2 meV per atom

[11]
A relaxed NdPa2Au6 crystal. Source: Alexandria, functional PBE.

```
data_NdPa2Au6
_cell_length_a 3.208
_cell_length_b 8.367
_cell_length_c 8.366
_cell_angle_alpha 120.00
_cell_angle_beta 90.00
_cell_angle_gamma 90.00
_space_group_name_H-M_alt 'P 1'
_space_group_IT_number 1
_space_group_name_Hall 'P 1'
loop_
_atom_site_label
_atom_site_fract_x
_atom_site_fract_y
_atom_site_fract_z
_atom_site_occupancy
Nd1 0.000 0.000 0.000 1
Pa1 0.000 0.333 0.667 1
Pa2 0.000 0.667 0.333 1
Au1 0.500 0.335 0.335 1
Au2 0.500 0.665 0.665 1
Au3 0.500 0.000 0.665 1
Au4 0.500 0.665 0.000 1
Au5 0.500 0.335 0.000 1
Au6 0.500 0.000 0.335 1
```

* DOS(E_F): 10.42 states/eV per cell
* DFT total energy: -5.377 eV per atom
* space-group type: No. 191
* formation energy: -551.8 meV per atom

[12]
A relaxed NdPa2Au8 crystal. Source: Alexandria, functional PBE.

```
data_NdPa2Au8
_cell_length_a 5.165
_cell_length_b 6.088
_cell_length_c 8.635
_cell_angle_alpha 110.67
_cell_angle_beta 107.43
_cell_angle_gamma 89.93
_space_group_name_H-M_alt 'P 1'
_space_group_IT_number 1
_space_group_name_Hall 'P 1'
loop_
_atom_site_label
_atom_site_fract_x
_atom_site_fract_y
_atom_site_fract_z
_atom_site_occupancy
Nd1 0.500 0.000 0.000 1
Pa1 0.682 0.682 0.364 1
Pa2 0.318 0.318 0.636 1
Au1 0.139 0.367 0.276 1
Au2 0.863 0.091 0.724 1
Au3 0.751 0.498 0.000 1
Au4 0.703 0.203 0.407 1
Au5 0.297 0.797 0.593 1
Au6 0.249 0.502 0.000 1
Au7 0.137 0.909 0.276 1
Au8 0.861 0.633 0.724 1
```

* DOS(E_F): 12.43 states/eV per cell
* DFT total energy: -5.033 eV per atom
* space-group type: No. 12
* formation energy: -489.1 meV per atom